DFT (PBE) results for a geometry-optimized Ac8Si3AuBr4 structure.

Values from the calculation:
D(E_F)   0.615 states/eV per atom
Calculated total energy   -4.723 eV per atom
Space-group type   No. 166
Energy relative to the elements, uncorrected   -16.5 eV per formula unit
Total magnetic moment   0.000 μB per formula unit

The structure in CIF format:
```
data_Ac8Si3AuBr4
_chemical_formula_sum 'Ac8 Si3 Au1 Br4'
_symmetry_space_group_name_H-M 'P 1'
_symmetry_Int_Tables_number 1
_symmetry_space_group_name_Hall 'P 1'
_cell_length_a 9.2094
_cell_length_b 9.1648
_cell_length_c 9.2088
_cell_angle_alpha 120.17
_cell_angle_beta 120.00
_cell_angle_gamma 90.00
loop_
_atom_site_label
_atom_site_fract_x
_atom_site_fract_y
_atom_site_fract_z
Br1 0.5000 0.0000 0.5000
Br2 0.0000 0.0000 0.0000
Br3 0.0000 0.0000 0.5000
Br4 0.5000 0.0000 0.0000
Ac1 0.7369 0.7215 0.9792
Ac2 0.7400 0.7198 0.4799
Ac3 0.2631 0.2785 0.0208
Ac4 0.7577 0.2785 0.5154
Ac5 0.2423 0.7215 0.9792
Ac6 0.2423 0.7215 0.4846
Ac7 0.7577 0.2785 0.0208
Ac8 0.2600 0.2802 0.5201
Si1 0.5000 0.5000 0.5000
Si2 0.5000 0.5000 0.0000
Si3 0.0000 0.5000 0.5000
Au1 0.0000 0.5000 0.0000
```

DFT (PBE) results for a geometry-optimized KZnCd structure.

Values from the calculation:
D(E_F)   0.668 states/eV per atom
Calculated total energy   -0.754 eV per atom
Space-group type   No. 216
Energy above the lowest structure with this stoichiometry   361.7 meV/atom
Total magnetic moment   0.000 μB per formula unit
Energy relative to the elements   32.9 kJ/mol of atoms

The structure in CIF format:
```
data_KZnCd
_chemical_formula_sum 'K1 Zn1 Cd1'
_symmetry_space_group_name_H-M 'P 1'
_symmetry_Int_Tables_number 1
_symmetry_space_group_name_Hall 'P 1'
_cell_length_a 5.5752
_cell_length_b 5.5752
_cell_length_c 5.5752
_cell_angle_alpha 60.00
_cell_angle_beta 60.00
_cell_angle_gamma 60.00
loop_
_atom_site_label
_atom_site_fract_x
_atom_site_fract_y
_atom_site_fract_z
Cd1 0.5000 0.5000 0.5000
K1 0.7500 0.7500 0.7500
Zn1 0.0000 0.0000 0.0000
```

DFT (PBE) results for a geometry-optimized AlBiPb2 structure.

Values from the calculation:
D(E_F)   0.532 states/eV per atom
Calculated total energy   -3.481 eV per atom
Space-group type   No. 166
Energy above the lowest structure with this stoichiometry   106.6 meV/atom
Total magnetic moment   0.000 μB per formula unit
Energy relative to the elements   27.0 kJ/mol of atoms

The structure in CIF format:
```
data_AlBiPb2
_chemical_formula_sum 'Al1 Bi1 Pb2'
_symmetry_space_group_name_H-M 'P 1'
_symmetry_Int_Tables_number 1
_symmetry_space_group_name_Hall 'P 1'
_cell_length_a 3.3817
_cell_length_b 3.3817
_cell_length_c 12.2012
_cell_angle_alpha 82.03
_cell_angle_beta 82.03
_cell_angle_gamma 60.00
loop_
_atom_site_label
_atom_site_fract_x
_atom_site_fract_y
_atom_site_fract_z
Pb1 0.0820 0.0820 0.7540
Pb2 0.9180 0.9180 0.2460
Al1 0.0000 0.0000 0.0000
Bi1 0.5000 0.5000 0.5000
```

DFT (PBE) results for a geometry-optimized Pr8Sm2Tm structure.

Values from the calculation:
D(E_F)   1.647 states/eV per atom
Calculated total energy   -4.585 eV per atom
Space-group type   No. 12
Energy above the lowest structure with this stoichiometry   46.9 meV/atom
Total magnetic moment   0.000 μB per formula unit
Energy relative to the elements   15.0 kJ/mol of atoms

The structure in CIF format:
```
data_Pr8Sm2Tm
_chemical_formula_sum 'Pr8 Sm2 Tm1'
_symmetry_space_group_name_H-M 'P 1'
_symmetry_Int_Tables_number 1
_symmetry_space_group_name_Hall 'P 1'
_cell_length_a 6.8344
_cell_length_b 10.3679
_cell_length_c 10.3679
_cell_angle_alpha 39.00
_cell_angle_beta 60.03
_cell_angle_gamma 60.03
loop_
_atom_site_label
_atom_site_fract_x
_atom_site_fract_y
_atom_site_fract_z
Pr1 0.1676 0.7566 0.7566
Pr2 0.7679 0.1777 0.6524
Pr3 0.2321 0.3476 0.8223
Pr4 0.8324 0.2434 0.2434
Pr5 0.7297 0.5946 0.5946
Pr6 0.2321 0.8223 0.3476
Pr7 0.2703 0.4054 0.4054
Pr8 0.7679 0.6524 0.1777
Sm1 0.4226 0.1922 0.1922
Sm2 0.5774 0.8078 0.8078
Tm1 0.0000 0.0000 0.0000
```

DFT (PBE) results for a geometry-optimized PrSmAgAu structure.

Values from the calculation:
D(E_F)   0.678 states/eV per atom
Calculated total energy   -4.432 eV per atom
Space-group type   No. 99
Energy above the lowest structure with this stoichiometry   0.0 meV/atom
Total magnetic moment   0.001 μB per formula unit
Energy relative to the elements   -50.7 kJ/mol of atoms

The structure in CIF format:
```
data_PrSmAgAu
_chemical_formula_sum 'Pr1 Sm1 Ag1 Au1'
_symmetry_space_group_name_H-M 'P 1'
_symmetry_Int_Tables_number 1
_symmetry_space_group_name_Hall 'P 1'
_cell_length_a 3.7134
_cell_length_b 3.7134
_cell_length_c 7.5018
_cell_angle_alpha 90.00
_cell_angle_beta 90.00
_cell_angle_gamma 90.00
loop_
_atom_site_label
_atom_site_fract_x
_atom_site_fract_y
_atom_site_fract_z
Ag1 0.5000 0.5000 0.1197
Pr1 0.0000 0.0000 0.8522
Au1 0.5000 0.5000 0.5928
Sm1 0.0000 0.0000 0.3633
```

DFT (PBE) results for a geometry-optimized In2H3Ir2 structure.

Values from the calculation:
D(E_F)   0.225 states/eV per atom
Calculated total energy   -4.628 eV per atom
Space-group type   No. 10
Total magnetic moment   0.000 μB per formula unit

The structure in CIF format:
```
data_In2H3Ir2
_chemical_formula_sum 'In2 H3 Ir2'
_symmetry_space_group_name_H-M 'P 1'
_symmetry_Int_Tables_number 1
_symmetry_space_group_name_Hall 'P 1'
_cell_length_a 4.4860
_cell_length_b 3.0673
_cell_length_c 7.5341
_cell_angle_alpha 113.52
_cell_angle_beta 90.00
_cell_angle_gamma 90.00
loop_
_atom_site_label
_atom_site_fract_x
_atom_site_fract_y
_atom_site_fract_z
H1 0.0000 0.2772 0.5002
H2 0.0000 0.0000 0.0000
H3 0.0000 0.7228 0.4998
In1 0.5000 0.7439 0.2424
In2 0.5000 0.2561 0.7576
Ir1 0.0000 0.2615 0.2603
Ir2 0.0000 0.7385 0.7397
```

DFT (PBE) results for a geometry-optimized Ca7Ag2Pt2 structure.

Values from the calculation:
D(E_F)   0.436 states/eV per atom
Calculated total energy   -3.354 eV per atom
Space-group type   No. 65
Energy above the lowest structure with this stoichiometry   74.2 meV/atom
Total magnetic moment   0.000 μB per formula unit
Energy relative to the elements   -44.7 kJ/mol of atoms

The structure in CIF format:
```
data_Ca7Ag2Pt2
_chemical_formula_sum 'Ca7 Ag2 Pt2'
_symmetry_space_group_name_H-M 'P 1'
_symmetry_Int_Tables_number 1
_symmetry_space_group_name_Hall 'P 1'
_cell_length_a 6.9405
_cell_length_b 7.1535
_cell_length_c 6.9405
_cell_angle_alpha 90.00
_cell_angle_beta 104.21
_cell_angle_gamma 90.00
loop_
_atom_site_label
_atom_site_fract_x
_atom_site_fract_y
_atom_site_fract_z
Ag1 0.1748 0.5000 0.1748
Ag2 0.8252 0.5000 0.8252
Ca1 0.5002 0.7544 0.4998
Ca2 0.4998 0.2456 0.5002
Ca3 0.0000 0.0000 0.0000
Ca4 0.0002 0.7426 0.4997
Ca5 0.9998 0.2574 0.5003
Ca6 0.5003 0.7426 0.9998
Ca7 0.4997 0.2574 0.0002
Pt1 0.7171 0.0000 0.2829
Pt2 0.2829 0.0000 0.7171
```

DFT (PBE) results for a geometry-optimized MoOs3 structure.

Values from the calculation:
D(E_F)   1.294 states/eV per atom
Calculated total energy   -11.089 eV per atom
Space-group type   No. 221
Total magnetic moment   0.000 μB per formula unit
Energy relative to the elements   4.0 kJ/mol of atoms

The structure in CIF format:
```
data_MoOs3
_chemical_formula_sum 'Mo1 Os3'
_symmetry_space_group_name_H-M 'P 1'
_symmetry_Int_Tables_number 1
_symmetry_space_group_name_Hall 'P 1'
_cell_length_a 3.8880
_cell_length_b 3.8880
_cell_length_c 3.8880
_cell_angle_alpha 90.00
_cell_angle_beta 90.00
_cell_angle_gamma 90.00
loop_
_atom_site_label
_atom_site_fract_x
_atom_site_fract_y
_atom_site_fract_z
Os1 0.5000 0.0000 0.5000
Os2 0.5000 0.5000 0.0000
Os3 0.0000 0.5000 0.5000
Mo1 0.0000 0.0000 0.0000
```